Below is a relaxed structure of Tl2ZnSe, with properties calculated at the PBE level.

Raw formation energy: -0.1849 eV/atom
Theoretical density: 8.4 g/cm3
Energy above the most stable polymorph in this dataset: 0 meV/atom

The structure in POSCAR format:
```
Tl2ZnSe
1.0
-6.1769 3.9640 4.3615
-6.0768 0.4122 5.9827
-3.5260 3.1462 7.1105
Se Tl Zn
1 2 1
Direct
0.7729 0.7729 0.7729 Se
0.0096 0.0096 0.0096 Tl
0.2341 0.2341 0.2341 Tl
0.4834 0.4834 0.4834 Zn
```

Below is a relaxed structure of RbCr2SnPb, with properties calculated at the PBE level.

Theoretical density: 4.7 g/cm3
Formation energy from the elements: 4.62 eV per formula unit

The structure in POSCAR format:
```
RbCr2SnPb
1.0
5.4720 0.0000 0.0000
0.0000 6.0657 0.0000
0.0000 0.0000 5.4720
Pb Cr Sn Rb
1 2 1 1
Direct
0.0000 0.0000 0.0000 Pb
0.0000 0.0000 0.5000 Cr
0.5000 0.0000 0.0000 Cr
0.0000 0.5000 0.0000 Sn
0.5000 0.5000 0.5000 Rb
```

Below is a relaxed structure of CaAuI4, with properties calculated at the PBE level.

Raw formation energy: -0.7652 eV/atom
Theoretical density: 5.0 g/cm3

The structure in POSCAR format:
```
CaAuI4
1.0
4.5778 0.0000 0.0000
0.0000 7.4570 -0.2629
0.0000 -0.6558 14.5297
Ca Au I
2 2 8
Direct
0.0000 0.0000 0.5000 Ca
0.5000 0.5000 0.0000 Ca
0.5000 0.5000 0.5000 Au
0.0000 0.0000 0.0000 Au
0.5006 0.1719 0.3833 I
0.0006 0.3281 0.1167 I
0.4994 0.8281 0.6167 I
0.9994 0.6719 0.8833 I
0.8534 0.6509 0.3739 I
0.3534 0.8491 0.1261 I
0.1466 0.3491 0.6261 I
0.6466 0.1509 0.8739 I
```